# Pm3Tm2Co2, optimized geometry, DFT PBE
# - formation energy from the elements (eV/atom) = -0.1134
# - DOS(E_F) (states/eV/atom) = 0.8402
# - space-group type = C2/m
data_Pm3Tm2Co2
_cell_length_a 3.7440
_cell_length_b 6.2819
_cell_length_c 8.5013
_cell_angle_alpha 100.72
_cell_angle_beta 102.71
_cell_angle_gamma 107.35
_space_group_name_H-M_alt 'P 1'
_space_group_IT_number 1
_space_group_name_Hall 'P 1'
loop_
_atom_site_label
_atom_site_fract_x
_atom_site_fract_y
_atom_site_fract_z
Pm1 0.8110 0.1958 0.4258
Pm2 0.5000 0.0000 0.0000
Pm3 0.1890 0.8042 0.5742
Tm1 0.3648 0.5401 0.1895
Tm2 0.6352 0.4599 0.8105
Co1 0.9430 0.1272 0.7589
Co2 0.0570 0.8728 0.2411

***

# PmTm2Co, optimized geometry, DFT PBE
# - formation energy from the elements (eV/atom) = -0.1388
# - DOS(E_F) (states/eV/atom) = 1.2292
# - relative energy among the computed polymorphs (eV per formula unit) = 0.00
# - space-group type = P2_1/m
data_PmTm2Co
_cell_length_a 3.6223
_cell_length_b 6.3039
_cell_length_c 9.3381
_cell_angle_alpha 90.00
_cell_angle_beta 90.00
_cell_angle_gamma 106.62
_space_group_name_H-M_alt 'P 1'
_space_group_IT_number 1
_space_group_name_Hall 'P 1'
loop_
_atom_site_label
_atom_site_fract_x
_atom_site_fract_y
_atom_site_fract_z
Co1 0.7534 0.5071 0.7500
Co2 0.2466 0.4929 0.2500
Tm1 0.6434 0.2858 0.4275
Tm2 0.6434 0.2858 0.0725
Tm3 0.3566 0.7142 0.5725
Tm4 0.3566 0.7142 0.9275
Pm1 0.0810 0.1622 0.7500
Pm2 0.9190 0.8378 0.2500

***

# PmTmCo10, optimized geometry, DFT PBE
# - formation energy from the elements (eV/atom) = -0.0916
# - DOS(E_F) (states/eV/atom) = 1.5675
# - space-group type = Pmmm
data_PmTmCo10
_cell_length_a 3.9469
_cell_length_b 4.9270
_cell_length_c 8.5709
_cell_angle_alpha 90.00
_cell_angle_beta 90.00
_cell_angle_gamma 90.00
_space_group_name_H-M_alt 'P 1'
_space_group_IT_number 1
_space_group_name_Hall 'P 1'
loop_
_atom_site_label
_atom_site_fract_x
_atom_site_fract_y
_atom_site_fract_z
Co1 0.5000 0.2531 0.2546
Co2 0.5000 0.0000 0.5000
Co3 0.0000 0.5000 0.8246
Co4 0.5000 0.5000 0.0000
Co5 0.5000 0.2531 0.7454
Co6 0.5000 0.7469 0.2546
Co7 0.0000 0.0000 0.6611
Co8 0.0000 0.0000 0.3389
Co9 0.0000 0.5000 0.1754
Co10 0.5000 0.7469 0.7454
Pm1 0.0000 0.0000 0.0000
Tm1 0.0000 0.5000 0.5000

***

# PmTm6Co2, optimized geometry, DFT PBE
# - formation energy from the elements (eV/atom) = -0.0738
# - DOS(E_F) (states/eV/atom) = 1.1622
# - space-group type = Immm
data_PmTm6Co2
_cell_length_a 8.4112
_cell_length_b 8.4112
_cell_length_c 8.4112
_cell_angle_alpha 107.32
_cell_angle_beta 109.15
_cell_angle_gamma 111.98
_space_group_name_H-M_alt 'P 1'
_space_group_IT_number 1
_space_group_name_Hall 'P 1'
loop_
_atom_site_label
_atom_site_fract_x
_atom_site_fract_y
_atom_site_fract_z
Co1 0.5000 0.6135 0.1135
Co2 0.3213 0.0000 0.3213
Co3 0.6787 0.0000 0.6787
Co4 0.5000 0.3865 0.8865
Tm1 0.6853 0.0050 0.3197
Tm2 0.4750 0.2883 0.1866
Tm3 0.1017 0.2883 0.8134
Tm4 0.8983 0.7117 0.1866
Tm5 0.2191 0.7602 0.9794
Tm6 0.3147 0.6344 0.3197
Tm7 0.7809 0.7602 0.5411
Tm8 0.7809 0.2398 0.0206
Tm9 0.3147 0.9950 0.6803
Tm10 0.2191 0.2398 0.4589
Tm11 0.5250 0.7117 0.8134
Tm12 0.6853 0.3656 0.6803
Pm1 0.0000 0.0000 0.0000
Pm2 0.0000 0.5000 0.5000

***

# PmTm2Co, optimized geometry, DFT PBE
# - formation energy from the elements (eV/atom) = -0.1079
# - DOS(E_F) (states/eV/atom) = 0.9714
# - relative energy among the computed polymorphs (eV per formula unit) = 0.12
# - space-group type = P4/mmm
data_PmTm2Co
_cell_length_a 3.3667
_cell_length_b 3.3667
_cell_length_c 8.8313
_cell_angle_alpha 90.00
_cell_angle_beta 90.00
_cell_angle_gamma 90.00
_space_group_name_H-M_alt 'P 1'
_space_group_IT_number 1
_space_group_name_Hall 'P 1'
loop_
_atom_site_label
_atom_site_fract_x
_atom_site_fract_y
_atom_site_fract_z
Tm1 0.0000 0.0000 0.1793
Tm2 0.0000 0.0000 0.8207
Co1 0.5000 0.5000 0.0000
Pm1 0.5000 0.5000 0.5000

***

# PmTmCo4, optimized geometry, DFT PBE
# - formation energy from the elements (eV/atom) = -0.1608
# - DOS(E_F) (states/eV/atom) = 1.2864
# - space-group type = F-43m
data_PmTmCo4
_cell_length_a 5.0902
_cell_length_b 5.0902
_cell_length_c 5.0902
_cell_angle_alpha 60.00
_cell_angle_beta 60.00
_cell_angle_gamma 60.00
_space_group_name_H-M_alt 'P 1'
_space_group_IT_number 1
_space_group_name_Hall 'P 1'
loop_
_atom_site_label
_atom_site_fract_x
_atom_site_fract_y
_atom_site_fract_z
Co1 0.1269 0.6244 0.6244
Co2 0.6244 0.6244 0.1269
Co3 0.6244 0.1269 0.6244
Co4 0.6244 0.6244 0.6244
Pm1 0.0000 0.0000 0.0000
Tm1 0.2500 0.2500 0.2500

***

# PmTm3Co, optimized geometry, DFT PBE
# - formation energy from the elements (eV/atom) = -0.1125
# - DOS(E_F) (states/eV/atom) = 1.1228
# - relative energy among the computed polymorphs (eV per formula unit) = 0.00
# - space-group type = C2/m
data_PmTm3Co
_cell_length_a 3.7023
_cell_length_b 6.7796
_cell_length_c 11.0251
_cell_angle_alpha 90.63
_cell_angle_beta 90.00
_cell_angle_gamma 105.85
_space_group_name_H-M_alt 'P 1'
_space_group_IT_number 1
_space_group_name_Hall 'P 1'
loop_
_atom_site_label
_atom_site_fract_x
_atom_site_fract_y
_atom_site_fract_z
Tm1 0.5644 0.1288 0.8424
Tm2 0.4356 0.8712 0.1576
Tm3 0.0611 0.1221 0.3724
Tm4 0.2153 0.4306 0.6357
Tm5 0.7847 0.5694 0.3643
Tm6 0.9389 0.8779 0.6276
Pm1 0.1671 0.3342 0.0912
Pm2 0.8329 0.6658 0.9088
Co1 0.4154 0.8309 0.4414
Co2 0.5846 0.1691 0.5586

***

# Pm3TmCo, optimized geometry, DFT PBE
# - formation energy from the elements (eV/atom) = 0.0005
# - DOS(E_F) (states/eV/atom) = 1.3027
# - relative energy among the computed polymorphs (eV per formula unit) = 0.00
# - space-group type = C2/m
data_Pm3TmCo
_cell_length_a 6.1395
_cell_length_b 7.4682
_cell_length_c 7.4682
_cell_angle_alpha 61.54
_cell_angle_beta 89.92
_cell_angle_gamma 89.92
_space_group_name_H-M_alt 'P 1'
_space_group_IT_number 1
_space_group_name_Hall 'P 1'
loop_
_atom_site_label
_atom_site_fract_x
_atom_site_fract_y
_atom_site_fract_z
Pm1 0.2515 0.0833 0.5923
Pm2 0.7485 0.9167 0.4077
Pm3 0.7485 0.4077 0.9167
Pm4 0.2515 0.5923 0.0833
Pm5 0.7514 0.4224 0.4224
Pm6 0.2486 0.5776 0.5776
Tm1 0.7453 0.9181 0.9181
Tm2 0.2547 0.0819 0.0819
Co1 0.5037 0.7480 0.7480
Co2 0.4963 0.2520 0.2520

***

# PmTmCo3, optimized geometry, DFT PBE
# - formation energy from the elements (eV/atom) = -0.1692
# - DOS(E_F) (states/eV/atom) = 0.8062
# - space-group type = Cmcm
data_PmTmCo3
_cell_length_a 3.8953
_cell_length_b 4.1335
_cell_length_c 11.7445
_cell_angle_alpha 100.14
_cell_angle_beta 90.00
_cell_angle_gamma 90.00
_space_group_name_H-M_alt 'P 1'
_space_group_IT_number 1
_space_group_name_Hall 'P 1'
loop_
_atom_site_label
_atom_site_fract_x
_atom_site_fract_y
_atom_site_fract_z
Pm1 0.7500 0.9281 0.8562
Pm2 0.2500 0.0719 0.1438
Co1 0.7500 0.6234 0.2468
Co2 0.7500 0.5246 0.0491
Co3 0.2500 0.4754 0.9509
Co4 0.2500 0.3766 0.7532
Co5 0.2500 0.6707 0.3413
Co6 0.7500 0.3293 0.6587
Tm1 0.2500 0.7938 0.5877
Tm2 0.7500 0.2062 0.4123

***

# PmTm3Co, optimized geometry, DFT PBE
# - formation energy from the elements (eV/atom) = -0.0593
# - DOS(E_F) (states/eV/atom) = 1.4800
# - relative energy among the computed polymorphs (eV per formula unit) = 0.27
# - space-group type = Pm-3m
data_PmTm3Co
_cell_length_a 5.2258
_cell_length_b 5.2258
_cell_length_c 5.2258
_cell_angle_alpha 90.00
_cell_angle_beta 90.00
_cell_angle_gamma 90.00
_space_group_name_H-M_alt 'P 1'
_space_group_IT_number 1
_space_group_name_Hall 'P 1'
loop_
_atom_site_label
_atom_site_fract_x
_atom_site_fract_y
_atom_site_fract_z
Tm1 0.5000 0.0000 0.0000
Tm2 0.0000 0.0000 0.5000
Tm3 0.0000 0.5000 0.0000
Pm1 0.5000 0.5000 0.5000
Co1 0.0000 0.0000 0.0000

***

# PmTm3Co, optimized geometry, DFT PBE
# - formation energy from the elements (eV/atom) = -0.1131
# - DOS(E_F) (states/eV/atom) = 0.9955
# - relative energy among the computed polymorphs (eV per formula unit) = 0.00
# - space-group type = P6_3/mmc
data_PmTm3Co
_cell_length_a 5.7176
_cell_length_b 7.3952
_cell_length_c 7.3950
_cell_angle_alpha 120.00
_cell_angle_beta 90.00
_cell_angle_gamma 90.00
_space_group_name_H-M_alt 'P 1'
_space_group_IT_number 1
_space_group_name_Hall 'P 1'
loop_
_atom_site_label
_atom_site_fract_x
_atom_site_fract_y
_atom_site_fract_z
Tm1 0.7500 0.1741 0.3481
Tm2 0.2500 0.8259 0.1740
Tm3 0.7500 0.6519 0.8260
Tm4 0.7500 0.1741 0.8260
Tm5 0.2500 0.8259 0.6519
Tm6 0.2500 0.3481 0.1740
Co1 0.0000 0.0000 0.0000
Co2 0.5000 0.0000 0.0000
Pm1 0.2500 0.3333 0.6666
Pm2 0.7500 0.6667 0.3334

***

# PmTm4Co, optimized geometry, DFT PBE
# - formation energy from the elements (eV/atom) = -0.0596
# - DOS(E_F) (states/eV/atom) = 1.2531
# - space-group type = C2/m
data_PmTm4Co
_cell_length_a 6.1664
_cell_length_b 3.5062
_cell_length_c 8.4418
_cell_angle_alpha 78.03
_cell_angle_beta 105.40
_cell_angle_gamma 73.44
_space_group_name_H-M_alt 'P 1'
_space_group_IT_number 1
_space_group_name_Hall 'P 1'
loop_
_atom_site_label
_atom_site_fract_x
_atom_site_fract_y
_atom_site_fract_z
Tm1 0.4484 0.8810 0.7881
Tm2 0.1271 0.2466 0.3801
Tm3 0.5516 0.1190 0.2119
Tm4 0.8729 0.7534 0.6199
Pm1 0.0000 0.0000 0.0000
Co1 0.5000 0.5000 0.5000

***

# PmTm3Co8, optimized geometry, DFT PBE
# - formation energy from the elements (eV/atom) = -0.2117
# - DOS(E_F) (states/eV/atom) = 1.2618
# - space-group type = R3m
data_PmTm3Co8
_cell_length_a 5.0511
_cell_length_b 5.0511
_cell_length_c 8.7656
_cell_angle_alpha 73.25
_cell_angle_beta 73.25
_cell_angle_gamma 60.00
_space_group_name_H-M_alt 'P 1'
_space_group_IT_number 1
_space_group_name_Hall 'P 1'
loop_
_atom_site_label
_atom_site_fract_x
_atom_site_fract_y
_atom_site_fract_z
Tm1 0.4996 0.4996 0.5012
Tm2 0.3751 0.3751 0.8746
Tm3 0.0003 0.0003 0.9991
Co1 0.6876 0.6876 0.9371
Co2 0.4380 0.4380 0.1826
Co3 0.9414 0.4380 0.1826
Co4 0.9379 0.4322 0.6920
Co5 0.4322 0.9379 0.6920
Co6 0.9379 0.9379 0.6920
Co7 0.1870 0.1870 0.4389
Co8 0.4380 0.9414 0.1826
Pm1 0.8749 0.8749 0.3754

***

# PmTm2Co, optimized geometry, DFT PBE
# - formation energy from the elements (eV/atom) = -0.0366
# - DOS(E_F) (states/eV/atom) = 1.1304
# - relative energy among the computed polymorphs (eV per formula unit) = 0.41
# - space-group type = R3m
data_PmTm2Co
_cell_length_a 3.7597
_cell_length_b 3.7597
_cell_length_c 9.1478
_cell_angle_alpha 78.14
_cell_angle_beta 78.14
_cell_angle_gamma 60.00
_space_group_name_H-M_alt 'P 1'
_space_group_IT_number 1
_space_group_name_Hall 'P 1'
loop_
_atom_site_label
_atom_site_fract_x
_atom_site_fract_y
_atom_site_fract_z
Tm1 0.0546 0.0546 0.8361
Tm2 0.2776 0.2776 0.1672
Co1 0.6662 0.6662 0.0015
Pm1 0.5016 0.5016 0.4952

***

# Pm12TmCo6, optimized geometry, DFT PBE
# - formation energy from the elements (eV/atom) = -0.0614
# - DOS(E_F) (states/eV/atom) = 0.9761
# - space-group type = Im-3
data_Pm12TmCo6
_cell_length_a 8.6721
_cell_length_b 8.6721
_cell_length_c 8.6721
_cell_angle_alpha 109.47
_cell_angle_beta 109.47
_cell_angle_gamma 109.47
_space_group_name_H-M_alt 'P 1'
_space_group_IT_number 1
_space_group_name_Hall 'P 1'
loop_
_atom_site_label
_atom_site_fract_x
_atom_site_fract_y
_atom_site_fract_z
Pm1 0.1148 0.8053 0.3096
Pm2 0.8852 0.1947 0.6904
Pm3 0.8053 0.6904 0.4957
Pm4 0.3096 0.1148 0.8053
Pm5 0.5043 0.1947 0.3096
Pm6 0.4957 0.8053 0.6904
Pm7 0.6904 0.8852 0.1947
Pm8 0.3096 0.5043 0.1947
Pm9 0.1947 0.3096 0.5043
Pm10 0.6904 0.4957 0.8053
Pm11 0.1947 0.6904 0.8852
Pm12 0.8053 0.3096 0.1148
Co1 0.6115 0.5000 0.1115
Co2 0.1115 0.6115 0.5000
Co3 0.8885 0.3885 0.5000
Co4 0.5000 0.8885 0.3885
Co5 0.5000 0.1115 0.6115
Co6 0.3885 0.5000 0.8885
Tm1 0.0000 0.0000 0.0000

***

# PmTm2Co, optimized geometry, DFT PBE
# - formation energy from the elements (eV/atom) = 0.1144
# - DOS(E_F) (states/eV/atom) = 0.9853
# - relative energy among the computed polymorphs (eV per formula unit) = 1.01
# - space-group type = R-3m
data_PmTm2Co
_cell_length_a 3.5874
_cell_length_b 3.5874
_cell_length_c 10.4607
_cell_angle_alpha 80.13
_cell_angle_beta 80.13
_cell_angle_gamma 60.00
_space_group_name_H-M_alt 'P 1'
_space_group_IT_number 1
_space_group_name_Hall 'P 1'
loop_
_atom_site_label
_atom_site_fract_x
_atom_site_fract_y
_atom_site_fract_z
Tm1 0.1155 0.1155 0.6534
Tm2 0.8845 0.8845 0.3466
Pm1 0.0000 0.0000 0.0000
Co1 0.5000 0.5000 0.5000

***

# PmTmZnCo, optimized geometry, DFT PBE
# - formation energy from the elements (eV/atom) = -0.1941
# - DOS(E_F) (states/eV/atom) = 0.6791
# - space-group type = F-43m
data_PmTmZnCo
_cell_length_a 4.9069
_cell_length_b 4.9069
_cell_length_c 4.9069
_cell_angle_alpha 60.00
_cell_angle_beta 60.00
_cell_angle_gamma 60.00
_space_group_name_H-M_alt 'P 1'
_space_group_IT_number 1
_space_group_name_Hall 'P 1'
loop_
_atom_site_label
_atom_site_fract_x
_atom_site_fract_y
_atom_site_fract_z
Tm1 0.2500 0.2500 0.2500
Co1 0.5000 0.5000 0.5000
Pm1 0.7500 0.7500 0.7500
Zn1 0.0000 0.0000 0.0000

***

# Pm2UCo3, optimized geometry, DFT PBE
# - formation energy from the elements (eV/atom) = -0.1460
# - DOS(E_F) (states/eV/atom) = 0.9930
# - space-group type = Pnnm
data_Pm2UCo3
_cell_length_a 4.0518
_cell_length_b 5.1196
_cell_length_c 11.1925
_cell_angle_alpha 90.00
_cell_angle_beta 90.00
_cell_angle_gamma 90.00
_space_group_name_H-M_alt 'P 1'
_space_group_IT_number 1
_space_group_name_Hall 'P 1'
loop_
_atom_site_label
_atom_site_fract_x
_atom_site_fract_y
_atom_site_fract_z
Co1 0.5000 0.2900 0.0718
Co2 0.5000 0.7100 0.9282
Co3 0.0000 0.0000 0.0000
Co4 0.0000 0.2100 0.5718
Co5 0.5000 0.5000 0.5000
Co6 0.0000 0.7900 0.4282
Pm1 0.0000 0.6955 0.7016
Pm2 0.0000 0.3045 0.2984
Pm3 0.5000 0.1955 0.7984
Pm4 0.5000 0.8045 0.2016
U1 0.5000 0.0000 0.5000
U2 0.0000 0.5000 0.0000

***

# Pm5UCo4, optimized geometry, DFT PBE
# - formation energy from the elements (eV/atom) = -0.1398
# - DOS(E_F) (states/eV/atom) = 1.0251
# - space-group type = C2/m
data_Pm5UCo4
_cell_length_a 4.0932
_cell_length_b 7.1940
_cell_length_c 9.2060
_cell_angle_alpha 113.46
_cell_angle_beta 102.84
_cell_angle_gamma 90.00
_space_group_name_H-M_alt 'P 1'
_space_group_IT_number 1
_space_group_name_Hall 'P 1'
loop_
_atom_site_label
_atom_site_fract_x
_atom_site_fract_y
_atom_site_fract_z
Co1 0.6278 0.2814 0.2557
Co2 0.9823 0.7924 0.9646
Co3 0.0177 0.2076 0.0354
Co4 0.3722 0.7186 0.7443
U1 0.5000 0.0000 0.0000
Pm1 0.1576 0.0422 0.3152
Pm2 0.8424 0.9578 0.6848
Pm3 0.5000 0.5000 0.0000
Pm4 0.8204 0.4347 0.6409
Pm5 0.1796 0.5653 0.3591

***

# Pm2V2Co15, optimized geometry, DFT PBE
# - formation energy from the elements (eV/atom) = -0.0876
# - DOS(E_F) (states/eV/atom) = 1.2277
# - space-group type = R-3m
data_Pm2V2Co15
_cell_length_a 6.3239
_cell_length_b 6.3239
_cell_length_c 6.3239
_cell_angle_alpha 82.99
_cell_angle_beta 82.99
_cell_angle_gamma 82.99
_space_group_name_H-M_alt 'P 1'
_space_group_IT_number 1
_space_group_name_Hall 'P 1'
loop_
_atom_site_label
_atom_site_fract_x
_atom_site_fract_y
_atom_site_fract_z
Co1 0.7100 0.2900 0.0000
Co2 0.3434 0.3434 0.8513
Co3 0.0000 0.7100 0.2900
Co4 0.1487 0.6566 0.6566
Co5 0.6566 0.1487 0.6566
Co6 0.2900 0.7100 0.0000
Co7 0.6566 0.6566 0.1487
Co8 0.2900 0.0000 0.7100
Co9 0.3434 0.8513 0.3434
Co10 0.0000 0.2900 0.7100
Co11 0.0000 0.5000 0.0000
Co12 0.7100 0.0000 0.2900
Co13 0.0000 0.0000 0.5000
Co14 0.8513 0.3434 0.3434
Co15 0.5000 0.0000 0.0000
Pm1 0.3480 0.3480 0.3480
Pm2 0.6520 0.6520 0.6520
V1 0.0956 0.0956 0.0956
V2 0.9044 0.9044 0.9044